The following is a PBE calculation of a relaxed structure of Zr2InNi2, from the Alexandria database.

Computed properties:
The calculation puts the density of states at the Fermi level at 0.7076 states/eV/atom. The formation energy is -0.15 eV/atom. Its total magnetic moment is 0.0 μB/f.u. As for the crystal system: tetragonal.

Unit cell a=4.500 b=4.500 c=9.601 alpha=90.00 beta=90.00 gamma=90.00
Space group I4/mmm (No. 139)
Asymmetric unit:
Zr: 0.000 0.500 0.250 x4
In: 0.000 0.000 0.000 x2
Ni: 0.000 0.000 0.384 x4

=====

The following is a PBE calculation of a relaxed structure of HfCdNi2, from the Alexandria database.

Computed properties:
The calculation puts the density of states at the Fermi level at 0.6133 states/eV/atom. The formation energy is 0.21 eV/atom. Its total magnetic moment is 0.0 μB/f.u. As for the crystal system: tetragonal.

Unit cell a=6.961 b=6.961 c=5.663 alpha=90.00 beta=90.00 gamma=90.00
Space group I-42d (No. 122)
Asymmetric unit:
Hf: 0.000 0.000 0.000 x4
Cd: 0.000 0.000 0.500 x4
Ni: 0.238 0.250 0.125 x8

=====

The following is a PBE calculation of a relaxed structure of LiNiBi3, from the Alexandria database.

Computed properties:
The energy relative to the lowest polymorph listed for this composition comes out at 0.00 eV per formula unit. The calculation puts the density of states at the Fermi level at 0.9894 states/eV/atom. The formation energy is 0.15 eV/atom. Its total magnetic moment is 0.0 μB/f.u. As for the crystal system: cubic.

Unit cell a=5.236 b=5.236 c=5.236 alpha=90.00 beta=90.00 gamma=90.00
Space group Pm-3m (No. 221)
Asymmetric unit:
Li: 0.000 0.000 0.000 x1
Ni: 0.500 0.500 0.500 x1
Bi: 0.000 0.500 0.500 x3